A plane-wave DFT calculation with PBE-GGA was carried out for an optimized crystal structure of MgCoSb.

Output
* symmetry: No. 11
* volume: 113.0 Å³ per cell
* formation energy without anion corrections: -0.144 eV/atom
* raw total energy: -4.42 eV per atom

Cell: 5.877 6.089 3.159 Å, 89.72 90.00 90.00°
Element x y z (fractional)
Co1 0.796 0.234 0.569
Co2 0.295 0.234 0.569
Mg1 0.546 0.504 0.066
Mg2 0.046 0.963 0.073
Sb1 0.046 0.478 0.066
Sb2 0.545 0.989 0.072

A plane-wave DFT calculation with PBE-GGA was carried out for an optimized crystal structure of MgCoSb.

Output
* symmetry: No. 107
* volume: 56.2 Å³ per cell
* formation energy without anion corrections: 0.013 eV/atom
* raw total energy: -4.26 eV per atom

Cell: 6.229 6.230 3.106 Å, 75.56 75.57 28.87°
Element x y z (fractional)
Sb1 0.630 0.630 0.370
Mg1 0.364 0.364 0.636
Co1 0.006 0.006 0.994

A plane-wave DFT calculation with PBE-GGA was carried out for an optimized crystal structure of MgCoSb.

Output
* symmetry: No. 156
* volume: 57.7 Å³ per cell
* formation energy without anion corrections: 0.102 eV/atom
* raw total energy: -4.17 eV per atom

Cell: 3.260 3.260 6.272 Å, 90.00 90.00 120.00°
Element x y z (fractional)
Sb1 0.333 0.667 0.721
Mg1 0.667 0.333 0.292
Co1 0.000 0.000 0.987

A plane-wave DFT calculation with PBE-GGA was carried out for an optimized crystal structure of Mg2CoSb.

Output
* symmetry: No. 47
* volume: 74.2 Å³ per cell
* formation energy without anion corrections: 0.067 eV/atom
* raw total energy: -3.54 eV per atom

Cell: 3.829 3.295 6.740 Å, 60.73 90.00 90.00°
Element x y z (fractional)
Sb1 0.500 0.250 0.250
Co1 0.500 0.750 0.750
Mg1 0.000 0.475 0.526
Mg2 0.000 0.025 0.974

Question: Which of these has the lowest volume?
Answer: number 2

Question: What is the formula in the fourth record?
Answer: Mg2CoSb

Question: Look up the raw total energy of the third one.
Answer: -4.17 eV per atom

Question: What is the volume in the third record?
Answer: 57.7 Å³ per cell